# 1
The following is a PBE-GGA calculation of a geometry-optimized YSi2W structure, from Alexandria via LeMat-Bulk.

Summary:
As for the crystal system: orthorhombic. The calculation puts the offset from the most stable computed form at 469 meV per atom.

Cell and atoms, written as CIF:
```
data_YSi2W
_space_group_name_H-M_alt 'P m m m'
_space_group_IT_number 47
_cell_length_a 3.874
_cell_length_b 3.928
_cell_length_c 4.602
_cell_angle_alpha 90.00
_cell_angle_beta 90.00
_cell_angle_gamma 90.00
loop_
_space_group_symop_operation_xyz
'x,y,z'
'-x,-y,-z'
'-x,-y,z'
'x,y,-z'
'x,-y,-z'
'-x,y,z'
'-x,y,-z'
'x,-y,z'
loop_
_atom_site_label
_atom_site_type_symbol
_atom_site_fract_x
_atom_site_fract_y
_atom_site_fract_z
_atom_site_occupancy
Y1 Y 0.000 0.000 0.000 1
Si1 Si 0.000 0.500 0.500 1
Si2 Si 0.500 0.500 0.000 1
W1 W 0.500 0.000 0.500 1
```



# 2
The following is a PBE-GGA calculation of a geometry-optimized KRbHIr2 structure, from Alexandria via LeMat-Bulk.

Summary:
As for the crystal system: tetragonal. Its total energy is -2.41 eV/atom.

Cell and atoms, written as CIF:
```
data_KRbHIr2
_space_group_name_H-M_alt 'P 4/m m m'
_space_group_IT_number 123
_space_group_name_Hall '-P 4 2'
_cell_length_a 5.284
_cell_length_b 5.284
_cell_length_c 5.125
_cell_angle_alpha 90.00
_cell_angle_beta 90.00
_cell_angle_gamma 90.00
loop_
_atom_site_label
_atom_site_type_symbol
_atom_site_fract_x
_atom_site_fract_y
_atom_site_fract_z
_atom_site_occupancy
K1 K 0.000 0.000 0.000 1
Rb1 Rb 0.500 0.500 0.500 1
H1 H 0.500 0.500 0.000 1
Ir1 Ir 0.000 0.500 0.500 1
```



# 3
The following is a PBE-GGA calculation of a geometry-optimized HoPuTh2Sb5 structure, from Alexandria via LeMat-Bulk.

Summary:
As for the crystal system: tetragonal. Its total energy is -6.14 eV/atom.

Cell and atoms, written as CIF:
```
data_HoPuTh2Sb5
_space_group_name_H-M_alt 'P 4/m m m'
_space_group_IT_number 123
_space_group_name_Hall '-P 4 2'
_cell_length_a 5.271
_cell_length_b 5.271
_cell_length_c 11.497
_cell_angle_alpha 90.00
_cell_angle_beta 90.00
_cell_angle_gamma 90.00
loop_
_atom_site_label
_atom_site_type_symbol
_atom_site_fract_x
_atom_site_fract_y
_atom_site_fract_z
_atom_site_occupancy
Ho1 Ho 0.000 0.000 0.000 1
Pu1 Pu 0.000 0.000 0.500 1
Th1 Th 0.500 0.500 0.195 1
Sb1 Sb 0.000 0.000 0.250 1
Sb2 Sb 0.000 0.500 0.000 1
Sb3 Sb 0.500 0.500 0.500 1
```



# 4
The following is a PBE-GGA calculation of a geometry-optimized KGa9Pd2 structure, from Alexandria via LeMat-Bulk.

Summary:
For the formation energy, the calculation gives -0.250 eV per atom. As for the crystal system: tetragonal.

Cell and atoms, written as CIF:
```
data_KGa9Pd2
_space_group_name_H-M_alt 'I 41/a m d'
_space_group_IT_number 141
_cell_length_a 10.818
_cell_length_b 10.818
_cell_length_c 7.695
_cell_angle_alpha 90.00
_cell_angle_beta 90.00
_cell_angle_gamma 90.00
loop_
_space_group_symop_operation_xyz
'x,y,z'
'-x,-y,-z'
'-y+1/4,x+3/4,z+1/4'
'y+1/4,-x+3/4,-z+1/4'
'-x+1/2,-y,z+1/2'
'x+1/2,y,-z+1/2'
'y+1/4,-x+1/4,z+3/4'
'-y+1/4,x+1/4,-z+3/4'
'x,-y,-z'
'-x,y,z'
'-y+1/4,-x+1/4,-z+3/4'
'y+1/4,x+1/4,z+3/4'
'-x+1/2,y,-z+1/2'
'x+1/2,-y,z+1/2'
'y+1/4,x+3/4,-z+1/4'
'-y+1/4,-x+3/4,z+1/4'
'x+1/2,y+1/2,z+1/2'
'-x+1/2,-y+1/2,-z+1/2'
'-y+3/4,x+1/4,z+3/4'
'y+3/4,-x+1/4,-z+3/4'
'-x,-y+1/2,z'
'x,y+1/2,-z'
'y+3/4,-x+3/4,z+1/4'
'-y+3/4,x+3/4,-z+1/4'
'x+1/2,-y+1/2,-z+1/2'
'-x+1/2,y+1/2,z+1/2'
'-y+3/4,-x+3/4,-z+1/4'
'y+3/4,x+3/4,z+1/4'
'-x,y+1/2,-z'
'x,-y+1/2,z'
'y+3/4,x+1/4,-z+3/4'
'-y+3/4,-x+1/4,z+3/4'
loop_
_atom_site_label
_atom_site_type_symbol
_atom_site_fract_x
_atom_site_fract_y
_atom_site_fract_z
_atom_site_occupancy
K1 K 0.000 0.250 0.375 1
Ga1 Ga 0.000 0.250 0.875 1
Ga2 Ga 0.121 0.048 0.682 1
Pd1 Pd 0.000 0.000 0.000 1
```



# 5
The following is a PBE-GGA calculation of a geometry-optimized CeTm2Ru2 structure, from Alexandria via LeMat-Bulk.

Summary:
For the formation energy, the calculation gives -0.461 eV per atom. As for the crystal system: orthorhombic. The calculation puts the offset from the most stable computed form at 0 meV per atom.

Cell and atoms, written as CIF:
```
data_CeTm2Ru2
_space_group_name_H-M_alt 'I m m m'
_space_group_IT_number 71
_space_group_name_Hall '-I 2 2'
_cell_length_a 4.181
_cell_length_b 5.928
_cell_length_c 8.954
_cell_angle_alpha 90.00
_cell_angle_beta 90.00
_cell_angle_gamma 90.00
loop_
_atom_site_label
_atom_site_type_symbol
_atom_site_fract_x
_atom_site_fract_y
_atom_site_fract_z
_atom_site_occupancy
Ce1 Ce 0.000 0.000 0.000 1
Tm1 Tm 0.000 0.500 0.192 1
Ru1 Ru 0.000 0.237 0.500 1
```



# 6
The following is a PBE-GGA calculation of a geometry-optimized Ga2CuPb2 structure, from Alexandria via LeMat-Bulk.

Summary:
For the formation energy, the calculation gives 0.266 eV per atom. As for the crystal system: tetragonal. The calculation puts the offset from the most stable computed form at 156 meV per atom.

Cell and atoms, written as CIF:
```
data_Ga2CuPb2
_space_group_name_H-M_alt 'P 4/m b m'
_space_group_IT_number 127
_space_group_name_Hall '-P 4 2ab'
_cell_length_a 7.302
_cell_length_b 7.302
_cell_length_c 4.752
_cell_angle_alpha 90.00
_cell_angle_beta 90.00
_cell_angle_gamma 90.00
loop_
_atom_site_label
_atom_site_type_symbol
_atom_site_fract_x
_atom_site_fract_y
_atom_site_fract_z
_atom_site_occupancy
Ga1 Ga 0.140 0.360 0.000 1
Cu1 Cu 0.000 0.000 0.500 1
Pb1 Pb 0.164 0.664 0.500 1
```



# 7
The following is a PBE-GGA calculation of a geometry-optimized RbTe4Se7 structure, from Alexandria via LeMat-Bulk.

Summary:
As for the crystal system: orthorhombic. Its total energy is -3.27 eV/atom.

Cell and atoms, written as CIF:
```
data_RbTe4Se7
_space_group_name_H-M_alt 'P m n 21'
_space_group_IT_number 31
_cell_length_a 18.486
_cell_length_b 7.329
_cell_length_c 6.630
_cell_angle_alpha 90.00
_cell_angle_beta 90.00
_cell_angle_gamma 90.00
loop_
_space_group_symop_operation_xyz
'x,y,z'
'-x+1/2,-y,z+1/2'
'-x,y,z'
'x+1/2,-y,z+1/2'
loop_
_atom_site_label
_atom_site_type_symbol
_atom_site_fract_x
_atom_site_fract_y
_atom_site_fract_z
_atom_site_occupancy
Rb1 Rb 0.000 0.023 0.000 1
Te1 Te 0.102 0.574 0.756 1
Te2 Te 0.242 0.184 0.013 1
Se1 Se 0.000 0.369 0.609 1
Se2 Se 0.063 0.859 0.497 1
Se3 Se 0.135 0.383 0.112 1
Se4 Se 0.202 0.865 0.045 1
```



# 8
The following is a PBE-GGA calculation of a geometry-optimized PaPtPb2O8 structure, from Alexandria via LeMat-Bulk.

Summary:
As for the crystal system: orthorhombic. Its total energy is -6.73 eV/atom.

Cell and atoms, written as CIF:
```
data_PaPtPb2O8
_space_group_name_H-M_alt 'C m m m'
_space_group_IT_number 65
_space_group_name_Hall '-C 2 2'
_cell_length_a 7.223
_cell_length_b 7.322
_cell_length_c 6.696
_cell_angle_alpha 90.00
_cell_angle_beta 90.00
_cell_angle_gamma 90.00
loop_
_atom_site_label
_atom_site_type_symbol
_atom_site_fract_x
_atom_site_fract_y
_atom_site_fract_z
_atom_site_occupancy
Pa1 Pa 0.000 0.000 0.000 1
Pt1 Pt 0.000 0.000 0.500 1
Pb1 Pb 0.000 0.500 0.262 1
O1 O 0.000 0.179 0.259 1
O2 O 0.193 0.500 0.000 1
O3 O 0.214 0.500 0.500 1
```



# 9
The following is a PBE-GGA calculation of a geometry-optimized Mn3CuB structure, from Alexandria via LeMat-Bulk.

Summary:
For the formation energy, the calculation gives 1.642 eV per atom. As for the crystal system: cubic. The calculation puts the offset from the most stable computed form at 1442 meV per atom.

Cell and atoms, written as CIF:
```
data_Mn3CuB
_space_group_name_H-M_alt 'P m -3 m'
_space_group_IT_number 221
_space_group_name_Hall '-P 4 2 3'
_cell_length_a 4.460
_cell_length_b 4.460
_cell_length_c 4.460
_cell_angle_alpha 90.00
_cell_angle_beta 90.00
_cell_angle_gamma 90.00
loop_
_atom_site_label
_atom_site_type_symbol
_atom_site_fract_x
_atom_site_fract_y
_atom_site_fract_z
_atom_site_occupancy
Mn1 Mn 0.000 0.000 0.500 1
Cu1 Cu 0.000 0.000 0.000 1
B1 B 0.500 0.500 0.500 1
```



# 10
The following is a PBE-GGA calculation of a geometry-optimized Ca2NdSm5 structure, from Alexandria via LeMat-Bulk.

Summary:
For the formation energy, the calculation gives 0.054 eV per atom. As for the crystal system: tetragonal.

Cell and atoms, written as CIF:
```
data_Ca2NdSm5
_space_group_name_H-M_alt 'I 4/m m m'
_space_group_IT_number 139
_space_group_name_Hall '-I 4 2'
_cell_length_a 5.202
_cell_length_b 5.202
_cell_length_c 21.092
_cell_angle_alpha 90.00
_cell_angle_beta 90.00
_cell_angle_gamma 90.00
loop_
_atom_site_label
_atom_site_type_symbol
_atom_site_fract_x
_atom_site_fract_y
_atom_site_fract_z
_atom_site_occupancy
Ca1 Ca 0.000 0.000 0.250 1
Nd1 Nd 0.000 0.000 0.000 1
Sm1 Sm 0.000 0.000 0.500 1
Sm2 Sm 0.000 0.500 0.117 1
```



no.,spin magnetization (μB per cell)
1,0.000
2,2.618
3,4.942
4,0.000
5,0.000
6,0.000
7,0.000
8,0.000
9,11.439
10,0.000